PuUSb2 | PBE | relaxed

Cell lengths 7.4967, 7.4967, 7.4967 Å; angles 90.00, 90.00, 90.00 degrees
Closest atoms and distances in Å follow each position.
Space group Fm-3m (No. 225)
Unique sites:
Pu 0.0000 0.0000 0.0000 [4 per cell]  8 Sb 3.25
U 0.0000 0.0000 0.5000 [4 per cell]  8 Sb 3.25
Sb 0.2500 0.2500 0.2500 [8 per cell]  4 Pu 3.25, 4 U 3.25

DOS at the Fermi energy	17.07	states/eV/f.u.
theoretical density	11.44	g/cm3
total energy	-139.789	eV/cell
formation energy from raw total energies	-271	meV/atom

PuUSb | PBE | relaxed

Cell lengths 4.7456, 4.7456, 3.6009 Å; angles 90.00, 90.00, 120.00 degrees
Closest atoms and distances in Å follow each position.
Space group P-6m2 (No. 187)
Unique sites:
Pu 0.0000 0.0000 0.0000 [1 per cell]  3 U 2.74
U 0.6667 0.3333 0.0000 [1 per cell]  3 Pu 2.74
Sb 0.3333 0.6667 0.5000 [1 per cell]  6 Pu 3.28, 6 U 3.28, 2 Sb 3.60

DOS at the Fermi energy	6.84	states/eV/f.u.
theoretical density	14.28	g/cm3
total energy	-29.851	eV/cell
formation energy from raw total energies	-36	meV/atom

PuUSb2 | PBE | relaxed

Cell lengths 3.2379, 3.2379, 35.1652 Å; angles 90.00, 90.00, 120.00 degrees
Closest atoms and distances in Å follow each position.
Space group R-3m (No. 166, hexagonal axes)
Unique sites:
Pu 0.0000 0.0000 0.0000 [3 per cell]  2 Sb 3.19, 6 Pu 3.24
U 0.0000 0.0000 0.5000 [3 per cell]  6 U 3.24, 6 Sb 3.26
Sb 0.0000 0.0000 0.0906 [6 per cell]  1 Pu 3.19, 6 Sb 3.24, 3 U 3.26

DOS at the Fermi energy	12.10	states/eV/f.u.
theoretical density	11.32	g/cm3
total energy	-100.476	eV/cell
formation energy from raw total energies	93	meV/atom

PuVSb2 | PBE | relaxed

Cell lengths 3.3274, 3.3274, 30.9491 Å; angles 90.00, 90.00, 120.00 degrees
Closest atoms and distances in Å follow each position.
Space group R-3m (No. 166, hexagonal axes)
Unique sites:
Pu 0.0000 0.0000 0.0000 [3 per cell]  2 Sb 3.22, 6 Pu 3.33
V 0.0000 0.0000 0.5000 [3 per cell]  6 Sb 2.73
Sb 0.0000 0.0000 0.1040 [6 per cell]  3 V 2.73

DOS at the Fermi energy	8.54	states/eV/f.u.
theoretical density	9.04	g/cm3
total energy	-93.718	eV/cell
formation energy from raw total energies	114	meV/atom

Pu2VSb | PBE | relaxed

Cell lengths 4.3567, 4.3567, 4.5805 Å; angles 90.00, 90.00, 90.00 degrees
Closest atoms and distances in Å follow each position.
Space group P4/mmm (No. 123)
Unique sites:
Pu 0.0000 0.5000 0.0000 [2 per cell]  4 Pu 3.08, 4 Sb 3.16, 4 V 3.16
V 0.0000 0.0000 0.5000 [1 per cell]  4 Sb 3.08, 8 Pu 3.16
Sb 0.5000 0.5000 0.5000 [1 per cell]  4 V 3.08, 8 Pu 3.16

DOS at the Fermi energy	10.15	states/eV/f.u.
theoretical density	12.62	g/cm3
total energy	-42.554	eV/cell
formation energy from raw total energies	-162	meV/atom

PuVSb3 | PBE | relaxed

Cell lengths 12.7555, 6.2922, 5.9899 Å; angles 90.00, 90.00, 90.00 degrees
Closest atoms and distances in Å follow each position.
Space group Pbcm (No. 57)
Unique sites:
Pu 0.1898 0.0037 0.2500 [4 per cell]  9 Sb 3.17-3.34, 2 V 3.47
V 0.4008 0.7500 0.0000 [4 per cell]  6 Sb 2.72-2.74, 2 V 2.99
Sb 0.0019 0.7500 0.0000 [4 per cell]  4 Sb 2.99-3.15, 4 Pu 3.25-3.26
Sb 0.2712 0.0007 0.7500 [4 per cell]  2 V 2.73
Sb 0.4337 0.1051 0.2500 [4 per cell]  4 V 2.72-2.74

DOS at the Fermi energy	13.35	states/eV/f.u.
theoretical density	9.12	g/cm3
total energy	-150.473	eV/cell
formation energy from raw total energies	-360	meV/atom

PuVSb2 | PBE | relaxed

Cell lengths 3.3650, 3.3650, 7.7220 Å; angles 90.00, 90.00, 90.00 degrees
Closest atoms and distances in Å follow each position.
Space group P4/mmm (No. 123)
Unique sites:
Pu 0.0000 0.0000 0.0000 [1 per cell]  8 Sb 3.28, 4 Pu 3.37
V 0.0000 0.0000 0.5000 [1 per cell]  8 Sb 2.87
Sb 0.5000 0.5000 0.2931 [2 per cell]  4 V 2.87, 1 Sb 3.20

DOS at the Fermi energy	7.74	states/eV/f.u.
theoretical density	10.23	g/cm3
total energy	-32.399	eV/cell
formation energy from raw total energies	-176	meV/atom

YPuSb2 | PBE | relaxed

Cell lengths 5.6961, 5.6961, 3.3154 Å; angles 90.00, 90.00, 90.00 degrees
Closest atoms and distances in Å follow each position.
Space group P4/mmm (No. 123)
Unique sites:
Y 0.0000 0.0000 0.0000 [1 per cell]  8 Sb 3.30, 2 Y 3.32
Pu 0.5000 0.5000 0.0000 [1 per cell]  8 Sb 3.30, 2 Pu 3.32
Sb 0.0000 0.5000 0.5000 [2 per cell]  4 Pu 3.30, 4 Y 3.30, 2 Sb 3.32

DOS at the Fermi energy	10.49	states/eV/f.u.
theoretical density	8.90	g/cm3
total energy	-31.903	eV/cell
formation energy from raw total energies	-716	meV/atom